Arrangement a

VASP calculation (PBE-GGA) on an optimized crystal structure of PrHoFe.

Total magnetic moment ... 2.100 μB/cell

Cell lengths 3.4455, 3.4455, 12.9530 Å; angles 90.00, 90.00, 90.00 degrees
Last column: nearest neighbours and their distance in Å.
Fractional positions:
1 Pr 0.0000 0.0000 0.0000  4 Fe 3.00, 1 Ho 3.31
2 Pr 0.5000 0.5000 0.5000  4 Fe 3.00, 1 Ho 3.31
3 Ho 0.0000 0.0000 0.7447  4 Fe 2.89
4 Ho 0.5000 0.5000 0.2447  4 Fe 2.89
5 Fe 0.0000 0.0000 0.3644  4 Ho 2.89, 4 Pr 3.00
6 Fe 0.5000 0.5000 0.8644  4 Ho 2.89, 4 Pr 3.00

***

Arrangement b

VASP calculation (PBE-GGA) on an optimized crystal structure of PrHoFe.

Total magnetic moment ... 0.001 μB/cell

Cell lengths 6.3017, 6.3017, 8.2067 Å; angles 90.00, 90.00, 90.00 degrees
Last column: nearest neighbours and their distance in Å.
Fractional positions:
1 Pr 0.2013 0.2013 0.0000  3 Fe 2.68-2.73
2 Pr 0.2987 0.7013 0.2500  3 Fe 2.68-2.73
3 Pr 0.7013 0.2987 0.7500  3 Fe 2.68-2.73
4 Pr 0.7987 0.7987 0.5000  3 Fe 2.68-2.73
5 Ho 0.1981 0.1981 0.5000  3 Fe 2.68-2.71
6 Ho 0.3019 0.6981 0.7500  3 Fe 2.68-2.71
7 Ho 0.6981 0.3019 0.2500  3 Fe 2.68-2.71
8 Ho 0.8019 0.8019 0.0000  3 Fe 2.68-2.71
9 Fe 0.0017 0.9983 0.7500  3 Ho 2.68-2.71, 3 Pr 2.68-2.73
10 Fe 0.4983 0.4983 0.5000  3 Ho 2.68-2.71, 3 Pr 2.68-2.73
11 Fe 0.5017 0.5017 0.0000  3 Ho 2.68-2.71, 3 Pr 2.68-2.73
12 Fe 0.9983 0.0017 0.2500  3 Ho 2.68-2.71, 3 Pr 2.68-2.73

***

Which one is most stable, and which one is least stable? arrangement a is the most stable of them, while arrangement b is the least stable.

***

Arrangement a

VASP calculation (PBE-GGA) on an optimized crystal structure of HoPuFe.

Total magnetic moment ... 16.076 μB/cell

Cell lengths 12.0302, 3.1801, 7.8644 Å; angles 90.00, 114.19, 90.00 degrees
Last column: nearest neighbours and their distance in Å.
Fractional positions:
1 Ho 0.0961 0.0000 0.3624  2 Fe 2.79-2.96
2 Ho 0.4039 0.5000 0.6376  2 Fe 2.79-2.96
3 Ho 0.5961 0.5000 0.3624  2 Fe 2.79-2.96
4 Ho 0.9039 0.0000 0.6376  2 Fe 2.79-2.96
5 Pu 0.1875 0.5000 0.7887  3 Fe 2.45-2.74
6 Pu 0.3125 0.0000 0.2113  3 Fe 2.45-2.74
7 Pu 0.6875 0.0000 0.7887  3 Fe 2.45-2.74
8 Pu 0.8125 0.5000 0.2113  3 Fe 2.45-2.74
9 Fe 0.0984 0.0000 0.9879  1 Fe 2.45, 3 Pu 2.45-2.74
10 Fe 0.4016 0.5000 0.0121  1 Fe 2.45, 3 Pu 2.45-2.74
11 Fe 0.5984 0.5000 0.9879  1 Fe 2.45, 3 Pu 2.45-2.74
12 Fe 0.9016 0.0000 0.0121  1 Fe 2.45, 3 Pu 2.45-2.74

***

Arrangement b

VASP calculation (PBE-GGA) on an optimized crystal structure of HoPuFe.

Total magnetic moment ... 8.124 μB/cell

Cell lengths 3.4325, 3.4325, 11.0448 Å; angles 90.00, 90.00, 90.00 degrees
Last column: nearest neighbours and their distance in Å.
Fractional positions:
1 Ho 0.0000 0.0000 0.0000  4 Fe 3.12, 5 Pu 3.13-3.41, 4 Ho 3.43
2 Ho 0.5000 0.5000 0.5000  4 Fe 3.12, 5 Pu 3.13-3.41, 4 Ho 3.43
3 Pu 0.0000 0.0000 0.2830  4 Fe 2.69
4 Pu 0.5000 0.5000 0.7830  4 Fe 2.69
5 Fe 0.0000 0.0000 0.6779  4 Pu 2.69
6 Fe 0.5000 0.5000 0.1779  4 Pu 2.69

***

Which one is most stable, and which one is least stable? arrangement b is the most stable of them, while arrangement a is the least stable.

***

Arrangement a

VASP calculation (PBE-GGA) on an optimized crystal structure of HoSc2Fe.

Total magnetic moment ... 2.891 μB/cell

Cell lengths 3.3147, 3.3147, 28.1925 Å; angles 90.00, 90.00, 120.00 degrees
Last column: nearest neighbours and their distance in Å.
Fractional positions:
1 Ho 0.0000 0.0000 0.0000  6 Ho 3.31, 6 Sc 3.51
2 Ho 0.3333 0.6667 0.6667  6 Ho 3.31, 6 Sc 3.51
3 Ho 0.6667 0.3333 0.3333  6 Ho 3.31, 6 Sc 3.51
4 Sc 0.0000 0.0000 0.2290  3 Fe 2.60
5 Sc 0.0000 0.0000 0.7710  3 Fe 2.60
6 Sc 0.3333 0.6667 0.4376  3 Fe 2.60
7 Sc 0.3333 0.6667 0.8957  3 Fe 2.60
8 Sc 0.6667 0.3333 0.1043  3 Fe 2.60
9 Sc 0.6667 0.3333 0.5624  3 Fe 2.60
10 Fe 0.0000 0.0000 0.5000  6 Sc 2.60
11 Fe 0.3333 0.6667 0.1667  6 Sc 2.60
12 Fe 0.6667 0.3333 0.8333  6 Sc 2.60

***

Arrangement b

VASP calculation (PBE-GGA) on an optimized crystal structure of HoSc2Fe.

Total magnetic moment ... 0.004 μB/cell

Cell lengths 3.5876, 11.4521, 8.5023 Å; angles 90.00, 90.00, 90.00 degrees
Last column: nearest neighbours and their distance in Å.
Fractional positions:
1 Ho 0.0000 0.0730 0.2500  2 Fe 2.69
2 Ho 0.0000 0.9270 0.7500  2 Fe 2.69
3 Ho 0.5000 0.4270 0.7500  2 Fe 2.69
4 Ho 0.5000 0.5730 0.2500  2 Fe 2.69
5 Sc 0.0000 0.3518 0.0685  3 Fe 2.65-2.94
6 Sc 0.0000 0.3518 0.4315  3 Fe 2.65-2.94
7 Sc 0.0000 0.6482 0.5685  3 Fe 2.65-2.94
8 Sc 0.0000 0.6482 0.9315  3 Fe 2.65-2.94
9 Sc 0.5000 0.1482 0.5685  3 Fe 2.65-2.94
10 Sc 0.5000 0.1482 0.9315  3 Fe 2.65-2.94
11 Sc 0.5000 0.8518 0.0685  3 Fe 2.65-2.94
12 Sc 0.5000 0.8518 0.4315  3 Fe 2.65-2.94
13 Fe 0.0000 0.2521 0.7500  6 Sc 2.65-2.94, 2 Ho 2.69
14 Fe 0.0000 0.7479 0.2500  6 Sc 2.65-2.94, 2 Ho 2.69
15 Fe 0.5000 0.2479 0.2500  6 Sc 2.65-2.94, 2 Ho 2.69
16 Fe 0.5000 0.7521 0.7500  6 Sc 2.65-2.94, 2 Ho 2.69

***

Which one is most stable, and which one is least stable? arrangement b is the most stable of them, while arrangement a is the least stable.

***

Arrangement a

VASP calculation (PBE-GGA) on an optimized crystal structure of HoSc2Fe.

Total magnetic moment ... 0.000 μB/cell

Cell lengths 3.1769, 3.1769, 8.4551 Å; angles 90.00, 90.00, 90.00 degrees
Last column: nearest neighbours and their distance in Å.
Fractional positions:
1 Ho 0.0000 0.0000 0.0000  4 Ho 3.18, 8 Sc 3.54
2 Sc 0.5000 0.5000 0.3241  4 Fe 2.69, 1 Sc 2.97
3 Sc 0.5000 0.5000 0.6759  4 Fe 2.69, 1 Sc 2.97
4 Fe 0.0000 0.0000 0.5000  8 Sc 2.69

***

Arrangement b

VASP calculation (PBE-GGA) on an optimized crystal structure of HoSc2Fe.

Total magnetic moment ... 0.000 μB/cell

Cell lengths 6.8086, 8.5685, 5.9365 Å; angles 90.00, 90.00, 90.00 degrees
Last column: nearest neighbours and their distance in Å.
Fractional positions:
1 Ho 0.0431 0.2500 0.1260  2 Fe 2.59-2.76
2 Ho 0.4569 0.7500 0.6260  2 Fe 2.59-2.76
3 Ho 0.5431 0.2500 0.3740  2 Fe 2.59-2.76
4 Ho 0.9569 0.7500 0.8740  2 Fe 2.59-2.76
5 Sc 0.1727 0.0659 0.6638  2 Fe 2.57-2.73
6 Sc 0.1727 0.4341 0.6638  2 Fe 2.57-2.73
7 Sc 0.3273 0.5659 0.1638  2 Fe 2.57-2.73
8 Sc 0.3273 0.9341 0.1638  2 Fe 2.57-2.73
9 Sc 0.6727 0.0659 0.8362  2 Fe 2.57-2.73
10 Sc 0.6727 0.4341 0.8362  2 Fe 2.57-2.73
11 Sc 0.8273 0.5659 0.3362  2 Fe 2.57-2.73
12 Sc 0.8273 0.9341 0.3362  2 Fe 2.57-2.73
13 Fe 0.1104 0.7500 0.4444  4 Sc 2.57-2.73, 2 Ho 2.59-2.76
14 Fe 0.3896 0.2500 0.9444  4 Sc 2.57-2.73, 2 Ho 2.59-2.76
15 Fe 0.6104 0.7500 0.0556  4 Sc 2.57-2.73, 2 Ho 2.59-2.76
16 Fe 0.8896 0.2500 0.5556  4 Sc 2.57-2.73, 2 Ho 2.59-2.76

***

Which one is most stable, and which one is least stable? arrangement b is the most stable of them, while arrangement a is the least stable.

***

Arrangement a

VASP calculation (PBE-GGA) on an optimized crystal structure of HoScFe.

Total magnetic moment ... 2.371 μB/cell

Cell lengths 6.6852, 6.6852, 7.0332 Å; angles 90.00, 90.00, 122.97 degrees
Last column: nearest neighbours and their distance in Å.
Fractional positions:
1 Ho 0.1955 0.8045 0.8885  2 Fe 2.72-2.73
2 Ho 0.3045 0.6955 0.3885  2 Fe 2.72-2.73
3 Ho 0.6955 0.3045 0.6115  2 Fe 2.72-2.73
4 Ho 0.8045 0.1955 0.1115  2 Fe 2.72-2.73
5 Sc 0.2083 0.2917 0.7500  4 Fe 2.66-2.68
6 Sc 0.2917 0.2083 0.2500  4 Fe 2.66-2.68
7 Sc 0.7083 0.7917 0.7500  4 Fe 2.66-2.68
8 Sc 0.7917 0.7083 0.2500  4 Fe 2.66-2.68
9 Fe 0.0919 0.9081 0.5405  1 Fe 2.23
10 Fe 0.4081 0.5919 0.0405  1 Fe 2.23
11 Fe 0.5919 0.4081 0.9595  1 Fe 2.23
12 Fe 0.9081 0.0919 0.4595  1 Fe 2.23

***

Arrangement b

VASP calculation (PBE-GGA) on an optimized crystal structure of HoScFe.

Total magnetic moment ... 0.000 μB/cell

Cell lengths 3.2142, 3.2142, 12.1471 Å; angles 90.00, 90.00, 90.00 degrees
Last column: nearest neighbours and their distance in Å.
Fractional positions:
1 Ho 0.0000 0.0000 0.0000  4 Fe 2.82, 1 Sc 3.10
2 Ho 0.5000 0.5000 0.5000  4 Fe 2.82, 1 Sc 3.10
3 Sc 0.0000 0.0000 0.2552  4 Fe 2.68
4 Sc 0.5000 0.5000 0.7552  4 Fe 2.68
5 Fe 0.0000 0.0000 0.6380  4 Sc 2.68, 4 Ho 2.82
6 Fe 0.5000 0.5000 0.1380  4 Sc 2.68, 4 Ho 2.82

***

Which one is most stable, and which one is least stable? arrangement b is the most stable of them, while arrangement a is the least stable.

***

Arrangement a

VASP calculation (PBE-GGA) on an optimized crystal structure of Ho2ScFe.

Total magnetic moment ... 0.000 μB/cell

Cell lengths 6.8872, 8.9093, 6.0849 Å; angles 90.00, 90.00, 90.00 degrees
Last column: nearest neighbours and their distance in Å.
Fractional positions:
1 Ho 0.1767 0.0646 0.1736  3 Fe 2.78-3.06
2 Ho 0.1767 0.4354 0.1736  3 Fe 2.78-3.06
3 Ho 0.3233 0.5646 0.6736  3 Fe 2.78-3.06
4 Ho 0.3233 0.9354 0.6736  3 Fe 2.78-3.06
5 Ho 0.6767 0.0646 0.3264  3 Fe 2.78-3.06
6 Ho 0.6767 0.4354 0.3264  3 Fe 2.78-3.06
7 Ho 0.8233 0.5646 0.8264  3 Fe 2.78-3.06
8 Ho 0.8233 0.9354 0.8264  3 Fe 2.78-3.06
9 Sc 0.0498 0.2500 0.6409  2 Fe 2.49-2.54
10 Sc 0.4502 0.7500 0.1409  2 Fe 2.49-2.54
11 Sc 0.5498 0.2500 0.8591  2 Fe 2.49-2.54
12 Sc 0.9502 0.7500 0.3591  2 Fe 2.49-2.54
13 Fe 0.1162 0.7500 0.9858  2 Sc 2.49-2.54, 2 Ho 2.78
14 Fe 0.3838 0.2500 0.4858  2 Sc 2.49-2.54, 2 Ho 2.78
15 Fe 0.6162 0.7500 0.5142  2 Sc 2.49-2.54, 2 Ho 2.78
16 Fe 0.8838 0.2500 0.0142  2 Sc 2.49-2.54, 2 Ho 2.78

***

Arrangement b

VASP calculation (PBE-GGA) on an optimized crystal structure of Ho2ScFe.

Total magnetic moment ... 1.206 μB/cell

Cell lengths 3.3439, 3.3439, 30.7251 Å; angles 90.00, 90.00, 120.00 degrees
Last column: nearest neighbours and their distance in Å.
Fractional positions:
1 Ho 0.0000 0.0000 0.1042  3 Fe 2.72
2 Ho 0.0000 0.0000 0.8958  3 Fe 2.72
3 Ho 0.3333 0.6667 0.5624  3 Fe 2.72
4 Ho 0.3333 0.6667 0.7709  3 Fe 2.72
5 Ho 0.6667 0.3333 0.2291  3 Fe 2.72
6 Ho 0.6667 0.3333 0.4376  3 Fe 2.72
7 Sc 0.0000 0.0000 0.0000  2 Ho 3.20, 6 Sc 3.34
8 Sc 0.3333 0.6667 0.6667  2 Ho 3.20, 6 Sc 3.34
9 Sc 0.6667 0.3333 0.3333  2 Ho 3.20, 6 Sc 3.34
10 Fe 0.0000 0.0000 0.5000  6 Ho 2.72
11 Fe 0.3333 0.6667 0.1667  6 Ho 2.72
12 Fe 0.6667 0.3333 0.8333  6 Ho 2.72

***

Arrangement c

VASP calculation (PBE-GGA) on an optimized crystal structure of Ho2ScFe.

Total magnetic moment ... 2.166 μB/cell

Cell lengths 3.4083, 3.4083, 8.1505 Å; angles 90.00, 90.00, 90.00 degrees
Last column: nearest neighbours and their distance in Å.
Fractional positions:
1 Ho 0.0000 0.0000 0.1975  4 Fe 2.90, 1 Ho 3.22
2 Ho 0.0000 0.0000 0.8025  4 Fe 2.90, 1 Ho 3.22
3 Sc 0.5000 0.5000 0.5000  4 Sc 3.41, 8 Ho 3.45
4 Fe 0.5000 0.5000 0.0000  8 Ho 2.90

***

Which one is most stable, and which one is least stable? arrangement a is the most stable of them, while arrangement b is the least stable.